First-principles (PBE-GGA) data for a geometry-optimized ZrHI2O structure, as listed in the Alexandria database.

Output
crystal system	tetragonal
electronic total energy	-3.703	eV per atom
V	91.59	Å³ per cell
relative energy among the computed polymorphs	1.078	eV/atom

CIF file:
```
data_ZrHI2O
_cell_length_a 5.2552
_cell_length_b 5.2552
_cell_length_c 3.3165
_cell_angle_alpha 90.00
_cell_angle_beta 90.00
_cell_angle_gamma 90.00
_symmetry_space_group_name_H-M 'P 4/m m m'
_symmetry_Int_Tables_number 123
_symmetry_space_group_name_Hall '-P 4 2'
loop_
_atom_site_label
_atom_site_fract_x
_atom_site_fract_y
_atom_site_fract_z
_atom_site_occupancy
Zr1 0.0000 0.0000 0.0000 1
H1 0.5000 0.5000 0.5000 1
I1 0.0000 0.5000 0.5000 1
O1 0.5000 0.5000 0.0000 1
```


First-principles (PBE-GGA) data for a geometry-optimized HOs2I structure, as listed in the Alexandria database.

Output
crystal system	tetragonal
electronic total energy	-5.814	eV per atom
V	239.79	Å³ per cell
relative energy among the computed polymorphs	0.000	eV/atom

CIF file:
```
data_HOs2I
_cell_length_a 5.0270
_cell_length_b 5.0270
_cell_length_c 9.4890
_cell_angle_alpha 90.00
_cell_angle_beta 90.00
_cell_angle_gamma 90.00
_symmetry_space_group_name_H-M 'I -4 2 d'
_symmetry_Int_Tables_number 122
_symmetry_space_group_name_Hall 'I -4 2bw'
loop_
_atom_site_label
_atom_site_fract_x
_atom_site_fract_y
_atom_site_fract_z
_atom_site_occupancy
H1 0.0000 0.0000 0.0000 1
Os1 0.1134 0.2500 0.1250 1
I1 0.0000 0.0000 0.5000 1
```


First-principles (PBE-GGA) data for a geometry-optimized HOs2I structure, as listed in the Alexandria database.

Output
crystal system	cubic
electronic total energy	-5.232	eV per atom
V	224.76	Å³ per cell
relative energy among the computed polymorphs	0.582	eV/atom

CIF file:
```
data_HOs2I
_cell_length_a 6.0800
_cell_length_b 6.0800
_cell_length_c 6.0800
_cell_angle_alpha 90.00
_cell_angle_beta 90.00
_cell_angle_gamma 90.00
_symmetry_space_group_name_H-M 'F m -3 m'
_symmetry_Int_Tables_number 225
_symmetry_space_group_name_Hall '-F 4 2 3'
loop_
_atom_site_label
_atom_site_fract_x
_atom_site_fract_y
_atom_site_fract_z
_atom_site_occupancy
H1 0.0000 0.0000 0.0000 1
Os1 0.2500 0.2500 0.2500 1
I1 0.0000 0.0000 0.5000 1
```


First-principles (PBE-GGA) data for a geometry-optimized Pm6HOs2I3 structure, as listed in the Alexandria database.

Output
crystal system	monoclinic
electronic total energy	-5.531	eV per atom
V	705.76	Å³ per cell

CIF file:
```
data_Pm6HOs2I3
_cell_length_a 7.0966
_cell_length_b 12.2972
_cell_length_c 8.4264
_cell_angle_alpha 90.00
_cell_angle_beta 106.31
_cell_angle_gamma 90.00
_symmetry_space_group_name_H-M 'C 1 2/m 1'
_symmetry_Int_Tables_number 12
_symmetry_space_group_name_Hall '-C 2y'
loop_
_atom_site_label
_atom_site_fract_x
_atom_site_fract_y
_atom_site_fract_z
_atom_site_occupancy
Pm1 0.2230 0.0000 0.1839 1
Pm2 0.2309 0.3307 0.1851 1
H1 0.0000 0.5000 0.0000 1
Os1 0.0000 0.1668 0.0000 1
I1 0.0000 0.0000 0.5000 1
I2 0.0000 0.3315 0.5000 1
```


First-principles (PBE-GGA) data for a geometry-optimized Pr6HOs2I3 structure, as listed in the Alexandria database.

Output
crystal system	monoclinic
electronic total energy	-5.541	eV per atom
V	733.94	Å³ per cell

CIF file:
```
data_Pr6HOs2I3
_cell_length_a 7.1839
_cell_length_b 12.4496
_cell_length_c 8.5492
_cell_angle_alpha 90.00
_cell_angle_beta 106.29
_cell_angle_gamma 90.00
_symmetry_space_group_name_H-M 'C 1 2/m 1'
_symmetry_Int_Tables_number 12
_symmetry_space_group_name_Hall '-C 2y'
loop_
_atom_site_label
_atom_site_fract_x
_atom_site_fract_y
_atom_site_fract_z
_atom_site_occupancy
Pr1 0.2234 0.0000 0.1855 1
Pr2 0.2315 0.3306 0.1864 1
H1 0.0000 0.5000 0.0000 1
Os1 0.0000 0.1667 0.0000 1
I1 0.0000 0.0000 0.5000 1
I2 0.0000 0.3310 0.5000 1
```


First-principles (PBE-GGA) data for a geometry-optimized Pr8HOs3I4 structure, as listed in the Alexandria database.

Output
crystal system	monoclinic
electronic total energy	-5.661	eV per atom
V	987.11	Å³ per cell

CIF file:
```
data_Pr8HOs3I4
_cell_length_a 14.4397
_cell_length_b 8.3263
_cell_length_c 9.5170
_cell_angle_alpha 90.00
_cell_angle_beta 120.38
_cell_angle_gamma 90.00
_symmetry_space_group_name_H-M 'C 1 2/m 1'
_symmetry_Int_Tables_number 12
_symmetry_space_group_name_Hall '-C 2y'
loop_
_atom_site_label
_atom_site_fract_x
_atom_site_fract_y
_atom_site_fract_z
_atom_site_occupancy
Pr1 0.0232 0.2457 0.3154 1
Pr2 0.2303 0.0000 0.6910 1
Pr3 0.2313 0.5000 0.6848 1
H1 0.0000 0.5000 0.5000 1
Os1 0.0000 0.0000 0.5000 1
Os2 0.2500 0.2500 0.5000 1
I1 0.0000 0.0000 0.0000 1
I2 0.0000 0.5000 0.0000 1
I3 0.2500 0.2500 0.0000 1
```